(1)
First-principles (PBE-GGA) data for crystalline LaTaBe2 at its relaxed geometry, as listed in Alexandria via LeMat-Bulk.

Calculated values
The total energy comes out at -5.352 eV/atom. The value obtained for the energy of formation is 706 meV per atom. The calculation puts the energy relative to the lowest polymorph listed for this composition at 0.516 eV per atom.

a b c (Å): 5.2725 5.2725 5.2725
angles (deg): 135.80 135.80 64.30
Positions (direct):
La1 0.0000 0.0000 0.0000
Ta1 0.2500 0.7500 0.5000
Be1 0.5000 0.5000 0.0000
Be2 0.7500 0.2500 0.5000

(2)
First-principles (PBE-GGA) data for crystalline CdIn2W at its relaxed geometry, as listed in Alexandria via LeMat-Bulk.

Calculated values
The total energy comes out at -3.916 eV/atom. The value obtained for the energy of formation is 920 meV per atom.

a b c (Å): 4.9323 4.9323 4.9323
angles (deg): 60.00 60.00 60.00
Positions (direct):
Cd1 0.0000 0.0000 0.0000
In1 0.2500 0.2500 0.2500
In2 0.5000 0.5000 0.5000
W1 0.7500 0.7500 0.7500

(3)
First-principles (PBE-GGA) data for crystalline CaPdC2O6 at its relaxed geometry, as listed in Alexandria via LeMat-Bulk.

Calculated values
The total energy comes out at -7.065 eV/atom. As for the formation energy (no corrections): -1472 kJ/mol of formula units.

a b c (Å): 6.2078 6.2078 6.2078
angles (deg): 47.43 47.43 47.43
Positions (direct):
Ca1 0.0000 0.0000 0.0000
Pd1 0.5000 0.5000 0.5000
C1 0.2453 0.2453 0.2453
C2 0.7547 0.7547 0.7547
O1 0.0162 0.4964 0.7483
O2 0.2517 0.9838 0.5036
O3 0.4964 0.7483 0.0162
O4 0.5036 0.2517 0.9838
O5 0.7483 0.0162 0.4964
O6 0.9838 0.5036 0.2517

(4)
First-principles (PBE-GGA) data for crystalline SrAlFe3 at its relaxed geometry, as listed in Alexandria via LeMat-Bulk.

Calculated values
The total energy comes out at -3.997 eV/atom. The value obtained for the energy of formation is 2166 meV per atom. The calculation puts the energy relative to the lowest polymorph listed for this composition at 1.398 eV per atom.

a b c (Å): 4.7364 4.7364 4.7364
angles (deg): 90.00 90.00 90.00
Positions (direct):
Sr1 0.0000 0.0000 0.0000
Al1 0.5000 0.5000 0.5000
Fe1 0.0000 0.0000 0.5000
Fe2 0.0000 0.5000 0.0000
Fe3 0.5000 0.0000 0.0000